Entry 1:
This record from Alexandria describes a relaxed ScRuSe2 crystal. The functional is GGA-PBE.

Uncorrected energy = -24.503 eV/cell
Space-group type = Cmmm
Energy above the most stable polymorph in this dataset = 1.04 eV per formula unit
Raw formation energy = -482 meV per atom

a = 3.924 Å, b = 4.462 Å, c = 4.470 Å
α = 79.43°, β = 90.00°, γ = 90.00°
Sites, in units of the cell vectors:
Ru 0.500 0.250 0.250
Sc 0.500 0.750 0.750
Se 0.000 0.029 0.030
Se 0.000 0.471 0.470

Entry 2:
This record from Alexandria describes a relaxed Sc2RuSe crystal. The functional is GGA-PBE.

Uncorrected energy = -26.432 eV/cell
Space-group type = F-43m
Raw formation energy = -252 meV per atom

a = 4.632 Å, b = 4.632 Å, c = 4.632 Å
α = 60.00°, β = 60.00°, γ = 60.00°
Sites, in units of the cell vectors:
Ru 0.500 0.500 0.500
Sc 0.000 0.000 0.000
Sc 0.250 0.250 0.250
Se 0.750 0.750 0.750

Entry 3:
This record from Alexandria describes a relaxed SrSc2RuSe crystal. The functional is GGA-PBE.

Uncorrected energy = -26.374 eV/cell
Space-group type = P4/mmm
Raw formation energy = 146 meV per atom

a = 4.956 Å, b = 5.637 Å, c = 4.956 Å
α = 90.00°, β = 90.00°, γ = 90.00°
Sites, in units of the cell vectors:
Sc 0.000 0.000 0.500
Sc 0.500 0.000 0.000
Ru 0.500 0.500 0.500
Se 0.000 0.000 0.000
Sr 0.000 0.500 0.000

Entry 4:
This record from Alexandria describes a relaxed ScTc2RuSe crystal. The functional is GGA-PBE.

Uncorrected energy = -30.712 eV/cell
Space-group type = P4/mmm
Raw formation energy = 1822 meV per atom

a = 4.669 Å, b = 4.628 Å, c = 4.669 Å
α = 90.00°, β = 90.00°, γ = 90.00°
Sites, in units of the cell vectors:
Sc 0.000 0.000 0.000
Ru 0.000 0.500 0.000
Tc 0.000 0.000 0.500
Tc 0.500 0.000 0.000
Se 0.500 0.500 0.500

Entry 5:
This record from Alexandria describes a relaxed ScTe2RuSe crystal. The functional is GGA-PBE.

Uncorrected energy = -25.171 eV/cell
Space-group type = P4/mmm
Raw formation energy = 41 meV per atom

a = 5.443 Å, b = 4.523 Å, c = 5.443 Å
α = 90.00°, β = 90.00°, γ = 90.00°
Sites, in units of the cell vectors:
Sc 0.500 0.500 0.500
Ru 0.000 0.000 0.000
Te 0.000 0.000 0.500
Te 0.500 0.000 0.000
Se 0.000 0.500 0.000

Entry 6:
This record from Alexandria describes a relaxed ZrScRu2Se crystal. The functional is GGA-PBE.

Uncorrected energy = -35.646 eV/cell
Space-group type = P4/mmm
Raw formation energy = 254 meV per atom

a = 4.577 Å, b = 4.765 Å, c = 4.577 Å
α = 90.00°, β = 90.00°, γ = 90.00°
Sites, in units of the cell vectors:
Sc 0.000 0.500 0.000
Ru 0.000 0.000 0.500
Ru 0.500 0.000 0.000
Se 0.000 0.000 0.000
Zr 0.500 0.500 0.500

Entry 7:
This record from Alexandria describes a relaxed Sc5SiRu6 crystal. The functional is GGA-PBE.

Uncorrected energy = -99.669 eV/cell
Space-group type = Immm
Raw formation energy = -578 meV per atom

a = 4.448 Å, b = 6.388 Å, c = 7.726 Å
α = 65.58°, β = 73.27°, γ = 90.00°
Sites, in units of the cell vectors:
Sc 0.664 0.163 0.673
Sc 0.333 0.333 0.334
Sc 0.000 0.500 0.000
Sc 0.667 0.667 0.666
Sc 0.336 0.837 0.327
Ru 0.840 0.597 0.320
Ru 0.840 0.083 0.320
Ru 0.500 0.764 0.000
Ru 0.500 0.236 0.000
Ru 0.160 0.917 0.680
Ru 0.160 0.403 0.680
Si 0.000 0.000 0.000

Entry 8:
This record from Alexandria describes a relaxed Sc3Si4Ru2 crystal. The functional is GGA-PBE.

Uncorrected energy = -66.751 eV/cell
Space-group type = C2/m
Raw formation energy = -835 meV per atom

a = 4.091 Å, b = 5.462 Å, c = 7.712 Å
α = 108.90°, β = 90.00°, γ = 111.99°
Sites, in units of the cell vectors:
Sc 0.623 0.245 0.695
Sc 0.000 0.000 0.000
Sc 0.377 0.755 0.305
Si 0.722 0.443 0.074
Si 0.278 0.557 0.926
Si 0.912 0.823 0.590
Si 0.088 0.177 0.410
Ru 0.677 0.354 0.353
Ru 0.323 0.646 0.647